# Li13Al2

A relaxed Li13Al2 crystal (GGA-PBE, Alexandria).

abc: 5.247 7.143 7.801
angles: 67.97 86.84 87.50
Sites, in units of the cell vectors:
1 Li 0.000 0.000 0.000
2 Li 0.126 0.268 0.215
3 Li 0.210 0.377 0.794
4 Li 0.244 0.531 0.404
5 Li 0.328 0.670 0.985
6 Li 0.398 0.802 0.584
7 Li 0.446 0.937 0.212
8 Li 0.554 0.063 0.788
9 Li 0.602 0.198 0.416
10 Li 0.672 0.330 0.015
11 Li 0.756 0.469 0.596
12 Li 0.790 0.623 0.206
13 Li 0.874 0.732 0.785
14 Al 0.075 0.119 0.600
15 Al 0.925 0.881 0.400

Computed properties:
The value obtained for the total energy is -2.21 eV per atom. The formation energy is -0.05 eV per atom. As for the crystal system: triclinic.